# 1
Density functional theory data (PBE) for a relaxed Sr2DyUSe6 crystal.

E_form (uncorrected) (eV/atom): -1.668

a b c (Å): 7.200 7.791 12.784
angles (deg): 90.00 124.18 90.00
Space group P2_1/c (No. 14)
Symmetry-distinct sites (fractional):
1 Sr 0.217 0.089 0.249 (multiplicity 4)
2 Dy 0.000 0.000 0.500 (multiplicity 2)
3 U 0.500 0.000 0.000 (multiplicity 2)
4 Se 0.130 0.188 0.941 (multiplicity 4)
5 Se 0.259 0.696 0.939 (multiplicity 4)
6 Se 0.372 0.033 0.754 (multiplicity 4)

---

# 2
Density functional theory data (PBE) for a relaxed K2Pb crystal.

ΔH_f (0 K) (eV/atom): 0.071

a b c (Å): 8.647 8.647 8.647
angles (deg): 90.00 90.00 90.00
Space group Fm-3m (No. 225)
Symmetry-distinct sites (fractional):
1 K 0.250 0.250 0.250 (multiplicity 8)
2 Pb 0.000 0.000 0.000 (multiplicity 4)

---

# 3
Density functional theory data (PBE) for a relaxed RbLi3Zr crystal.

ΔH_f (0 K) (eV/atom): 1.127

a b c (Å): 5.141 5.141 5.141
angles (deg): 90.00 90.00 90.00
Space group Pm-3m (No. 221)
Symmetry-distinct sites (fractional):
1 Rb 0.000 0.000 0.000 (multiplicity 1)
2 Li 0.000 0.000 0.500 (multiplicity 3)
3 Zr 0.500 0.500 0.500 (multiplicity 1)

---

# 4
Density functional theory data (PBE) for a relaxed LiScCr2 crystal.

ΔH_f (0 K) (eV/atom): 0.383

a b c (Å): 3.002 4.644 9.029
angles (deg): 90.00 90.00 90.00
Space group Cmm2 (No. 35)
Symmetry-distinct sites (fractional):
1 Li 0.000 0.000 0.000 (multiplicity 2)
2 Sc 0.000 0.500 0.310 (multiplicity 2)
3 Cr 0.000 0.000 0.566 (multiplicity 2)
4 Cr 0.000 0.500 0.745 (multiplicity 2)

---

# 5
Density functional theory data (PBE) for a relaxed BeSiAu2 crystal.

E_form (uncorrected) (eV/atom): 0.211

a b c (Å): 5.576 6.560 3.351
angles (deg): 90.00 90.00 90.00
Space group Cmmm (No. 65)
Symmetry-distinct sites (fractional):
1 Be 0.000 0.000 0.000 (multiplicity 2)
2 Si 0.000 0.500 0.000 (multiplicity 2)
3 Au 0.250 0.250 0.500 (multiplicity 4)

---

# 6
Density functional theory data (PBE) for a relaxed Ca3HoTl4 crystal.

ΔH_f (0 K) (eV/atom): -0.412

a b c (Å): 3.829 3.829 15.686
angles (deg): 90.00 90.00 90.00
Space group P4/mmm (No. 123)
Symmetry-distinct sites (fractional):
1 Ca 0.000 0.000 0.000 (multiplicity 1)
2 Ca 0.000 0.000 0.253 (multiplicity 2)
3 Ho 0.000 0.000 0.500 (multiplicity 1)
4 Tl 0.500 0.500 0.127 (multiplicity 2)
5 Tl 0.500 0.500 0.379 (multiplicity 2)

---

# 7
Density functional theory data (PBE) for a relaxed La2SnHgH crystal.

Total DFT energy (no corrections) (eV per formula unit): -20.133

a b c (Å): 5.063 5.063 4.659
angles (deg): 90.00 90.00 90.00
Space group P4/mmm (No. 123)
Symmetry-distinct sites (fractional):
1 La 0.000 0.500 0.000 (multiplicity 2)
2 Sn 0.000 0.000 0.500 (multiplicity 1)
3 Hg 0.500 0.500 0.500 (multiplicity 1)
4 H 0.500 0.500 0.000 (multiplicity 1)

---

# 8
Density functional theory data (PBE) for a relaxed TlRu3 crystal.

ΔH_f (0 K) (eV/atom): 0.618

a b c (Å): 3.910 3.910 16.655
angles (deg): 90.00 90.00 90.00
Space group I4/mmm (No. 139)
Symmetry-distinct sites (fractional):
1 Tl 0.000 0.000 0.123 (multiplicity 4)
2 Ru 0.000 0.000 0.368 (multiplicity 4)
3 Ru 0.000 0.500 0.000 (multiplicity 4)
4 Ru 0.000 0.500 0.250 (multiplicity 4)

---

# 9
Density functional theory data (PBE) for a relaxed Pm6Er3Tm2Mg crystal.

ΔH_f (0 K) (eV/atom): 0.025

a b c (Å): 6.184 10.715 11.671
angles (deg): 90.00 100.21 90.00
Space group C2/m (No. 12)
Symmetry-distinct sites (fractional):
1 Pm 0.249 0.000 0.249 (multiplicity 4)
2 Pm 0.249 0.333 0.248 (multiplicity 8)
3 Er 0.000 0.000 0.500 (multiplicity 2)
4 Er 0.000 0.333 0.500 (multiplicity 4)
5 Tm 0.000 0.166 0.000 (multiplicity 4)
6 Mg 0.000 0.500 0.000 (multiplicity 2)

---

# 10
Density functional theory data (PBE) for a relaxed SmNi6Ge4 crystal.

ΔH_f (0 K) (eV/atom): -0.486

a b c (Å): 6.8281 6.8281 3.8201
angles (deg): 90.00 90.00 120.00
Space group P-6m2 (No. 187)
Symmetry-distinct sites (fractional):
1 Sm 0.0000 0.0000 0.0000 (multiplicity 1)
2 Ni 0.2063 0.4126 0.5000 (multiplicity 3)
3 Ni 0.5371 0.0742 0.0000 (multiplicity 3)
4 Ge 0.3333 0.6667 0.0000 (multiplicity 1)
5 Ge 0.3868 0.1934 0.5000 (multiplicity 3)

---

# 11
Density functional theory data (PBE) for a relaxed Ca2Pm12Ho5 crystal.

ΔH_f (0 K) (eV/atom): 0.358

a b c (Å): 20.184 7.048 10.848
angles (deg): 90.00 112.55 90.00
Space group C2/m (No. 12)
Symmetry-distinct sites (fractional):
1 Ca 0.000 0.240 0.000 (multiplicity 4)
2 Pm 0.034 0.000 0.397 (multiplicity 4)
3 Pm 0.132 0.500 0.306 (multiplicity 4)
4 Pm 0.185 0.253 0.598 (multiplicity 8)
5 Pm 0.197 0.266 0.078 (multiplicity 8)
6 Ho 0.000 0.500 0.500 (multiplicity 2)
7 Ho 0.129 0.000 0.803 (multiplicity 4)
8 Ho 0.157 0.000 0.295 (multiplicity 4)

---

# 12
Density functional theory data (PBE) for a relaxed RbNb2Tc crystal.

ΔH_f (0 K) (eV/atom): 1.636

a b c (Å): 5.486 5.486 16.723
angles (deg): 90.00 90.00 90.00
Space group I4_1/amd (No. 141, origin choice 2)
Symmetry-distinct sites (fractional):
1 Rb 0.000 0.250 0.375 (multiplicity 4)
2 Nb 0.000 0.000 0.000 (multiplicity 8)
3 Tc 0.000 0.250 0.875 (multiplicity 4)

---

# 13
Density functional theory data (PBE) for a relaxed MnTlGa2Hg crystal.

ΔH_f (0 K) (eV/atom): 0.210

a b c (Å): 4.776 4.776 5.271
angles (deg): 90.00 90.00 90.00
Space group P4/mmm (No. 123)
Symmetry-distinct sites (fractional):
1 Mn 0.000 0.000 0.000 (multiplicity 1)
2 Tl 0.500 0.500 0.500 (multiplicity 1)
3 Ga 0.000 0.500 0.000 (multiplicity 2)
4 Hg 0.000 0.000 0.500 (multiplicity 1)

---

# 14
Density functional theory data (PBE) for a relaxed LaSm7Tm2 crystal.

ΔH_f (0 K) (eV/atom): 0.079

a b c (Å): 6.559 6.685 8.456
angles (deg): 73.52 71.91 83.93
Space group P-1 (No. 2)
Symmetry-distinct sites (fractional):
1 La 0.000 0.000 0.000 (multiplicity 1)
2 Sm 0.000 0.000 0.500 (multiplicity 1)
3 Sm 0.206 0.593 0.769 (multiplicity 2)
4 Sm 0.225 0.538 0.343 (multiplicity 2)
5 Sm 0.424 0.237 0.060 (multiplicity 2)
6 Tm 0.428 0.146 0.635 (multiplicity 2)

---

# 15
Density functional theory data (PBE) for a relaxed Nd2InCuTe5 crystal.

E_form (uncorrected) (eV/atom): -0.869

a b c (Å): 4.277 18.951 13.049
angles (deg): 90.00 90.00 90.00
Space group Cmc2_1 (No. 36)
Symmetry-distinct sites (fractional):
1 Nd 0.000 0.116 0.000 (multiplicity 4)
2 Nd 0.000 0.117 0.376 (multiplicity 4)
3 In 0.000 0.183 0.687 (multiplicity 4)
4 Cu 0.000 0.489 0.688 (multiplicity 4)
5 Te 0.000 0.040 0.768 (multiplicity 4)
6 Te 0.000 0.293 0.023 (multiplicity 4)
7 Te 0.000 0.293 0.354 (multiplicity 4)
8 Te 0.000 0.349 0.691 (multiplicity 4)
9 Te 0.000 0.489 0.992 (multiplicity 4)

---

# 16
Density functional theory data (PBE) for a relaxed Na2GaPt crystal.

ΔH_f (0 K) (eV/atom): -0.339

a b c (Å): 7.523 4.329 6.159
angles (deg): 90.00 113.74 90.00
Space group Cm (No. 8)
Symmetry-distinct sites (fractional):
1 Na 0.000 0.000 0.000 (multiplicity 2)
2 Na 0.212 0.000 0.638 (multiplicity 2)
3 Ga 0.272 0.500 0.318 (multiplicity 2)
4 Pt 0.435 0.000 0.308 (multiplicity 2)

---

# 17
Density functional theory data (PBE) for a relaxed TbNdHo4Er2 crystal.

ΔH_f (0 K) (eV/atom): 0.440

a b c (Å): 13.538 13.238 6.767
angles (deg): 90.00 119.99 90.00
Space group C2/c (No. 15)
Symmetry-distinct sites (fractional):
1 Tb 0.000 0.000 0.000 (multiplicity 4)
2 Nd 0.250 0.250 0.000 (multiplicity 4)
3 Ho 0.000 0.252 0.002 (multiplicity 8)
4 Ho 0.249 0.498 0.497 (multiplicity 8)
5 Er 0.000 0.500 0.000 (multiplicity 4)
6 Er 0.250 0.250 0.500 (multiplicity 4)

---

# 18
Density functional theory data (PBE) for a relaxed DyV2Re crystal.

ΔH_f (0 K) (eV/atom): 0.210

a b c (Å): 4.2372 4.2372 15.0534
angles (deg): 90.00 90.00 120.00
Space group R-3m (No. 166, hexagonal axes)
Symmetry-distinct sites (fractional):
1 Dy 0.0000 0.0000 0.0000 (multiplicity 3)
2 V 0.0000 0.0000 0.2019 (multiplicity 6)
3 Re 0.0000 0.0000 0.5000 (multiplicity 3)

---

# 19
Density functional theory data (PBE) for a relaxed SrBeCo crystal.

ΔH_f (0 K) (eV/atom): 1.545

a b c (Å): 6.815 6.815 6.815
angles (deg): 90.00 90.00 90.00
Space group F-43m (No. 216)
Symmetry-distinct sites (fractional):
1 Sr 0.000 0.000 0.000 (multiplicity 4)
2 Be 0.250 0.250 0.750 (multiplicity 4)
3 Co 0.250 0.250 0.250 (multiplicity 4)

---

# 20
Density functional theory data (PBE) for a relaxed Sc2Ga2Ru5W crystal.

ΔH_f (0 K) (eV/atom): -0.313

a b c (Å): 9.924 9.924 3.264
angles (deg): 90.00 90.00 90.00
Space group P4/mbm (No. 127)
Symmetry-distinct sites (fractional):
1 Sc 0.170 0.330 0.000 (multiplicity 4)
2 Ga 0.129 0.629 0.000 (multiplicity 4)
3 Ru 0.000 0.500 0.500 (multiplicity 2)
4 Ru 0.064 0.804 0.500 (multiplicity 8)
5 W 0.000 0.000 0.000 (multiplicity 2)